1.
A relaxed K2Sb2Te5 crystal, computed with PBE-GGA.

Values from the calculation:
Calculated density = 4.21 g/cm³
E_form (uncorrected) = -3.76 eV/f.u.
V = 379.0 Å³/f.u.

extended XYZ file:
```
9
Lattice="6.048 0.000 0.000 0.003 8.081 0.000 3.010 3.179 7.755" Properties=species:S:1:pos:R:3 pbc="T T T"
K 1.507 3.786 2.976
K 7.553 7.474 4.779
Sb 4.531 3.902 6.420
Sb 4.529 7.358 1.335
Te 1.519 6.885 1.022
Te 4.531 9.370 5.287
Te 4.530 5.630 3.878
Te 4.530 1.890 2.468
Te 7.541 4.375 6.733
```

***

2.
A relaxed K2Sb3Te6 crystal, computed with PBE-GGA.

Values from the calculation:
Calculated density = 4.73 g/cm³
E_form (uncorrected) = -4.26 eV/f.u.
V = 424.3 Å³/f.u.

extended XYZ file:
```
11
Lattice="3.751 -6.499 0.000 3.751 6.499 0.000 -2.517 0.000 8.701" Properties=species:S:1:pos:R:3 pbc="T T T"
K 3.751 4.340 0.000
K 3.751 -4.340 0.000
Sb -1.258 0.000 4.351
Sb 2.493 2.200 4.351
Sb 2.493 -2.200 4.351
Te -0.004 2.158 6.135
Te 1.251 0.000 2.560
Te -0.004 -2.158 6.135
Te 4.990 2.158 2.566
Te 3.735 0.000 6.141
Te 4.990 -2.158 2.566
```

***

3.
A relaxed K8Sb2Te crystal, computed with PBE-GGA.

Values from the calculation:
Calculated density = 2.52 g/cm³
E_form (uncorrected) = -6.19 eV/f.u.
V = 451.5 Å³/f.u.

extended XYZ file:
```
11
Lattice="-2.977 4.216 8.994 2.977 -4.216 8.994 2.977 4.216 -8.994" Properties=species:S:1:pos:R:3 pbc="T T T"
K 2.977 2.234 -2.736
K 0.000 0.000 3.308
K 0.000 2.347 0.000
K 2.977 2.234 2.736
K 0.000 1.981 6.258
K 0.000 6.084 0.000
K 0.000 0.000 14.680
K 0.000 1.981 11.730
Sb 2.977 0.000 5.769
Sb 0.000 4.216 3.225
Te 2.977 0.000 0.000
```

***

4.
A relaxed K2SbTe5 crystal, computed with PBE-GGA.

Values from the calculation:
Calculated density = 3.96 g/cm³
E_form (uncorrected) = -3.09 eV/f.u.
V = 351.6 Å³/f.u.

extended XYZ file:
```
8
Lattice="6.365 0.000 0.000 2.973 7.117 0.000 0.103 2.594 7.761" Properties=species:S:1:pos:R:3 pbc="T T T"
K 0.000 0.000 0.000
K 3.177 1.818 2.911
Sb 3.047 6.320 4.941
Te 1.639 5.889 7.464
Te 4.905 5.162 2.448
Te 5.045 6.286 7.705
Te 6.330 1.876 4.364
Te 7.983 5.168 2.679
```

***

5.
A relaxed KSb2Te2 crystal, computed with PBE-GGA.

Values from the calculation:
Calculated density = 5.02 g/cm³
E_form (uncorrected) = -0.93 eV/f.u.
V = 178.0 Å³/f.u.

extended XYZ file:
```
10
Lattice="9.343 0.000 0.000 0.000 9.343 0.000 0.000 0.000 4.077" Properties=species:S:1:pos:R:3 pbc="T T T"
K 0.000 0.000 0.000
K 4.672 4.672 0.000
Sb 1.769 2.902 2.038
Sb 2.902 7.574 2.038
Sb 6.441 1.769 2.038
Sb 7.574 6.441 2.038
Te 1.469 6.141 0.000
Te 3.202 1.469 0.000
Te 6.141 7.874 0.000
Te 7.874 3.202 0.000
```

***

6.
A relaxed KSbTe3 crystal, computed with PBE-GGA.

Values from the calculation:
Calculated density = 4.35 g/cm³
E_form (uncorrected) = 4.95 eV/f.u.
V = 207.4 Å³/f.u.

extended XYZ file:
```
5
Lattice="5.919 0.000 0.000 0.000 5.919 0.000 0.000 0.000 5.919" Properties=species:S:1:pos:R:3 pbc="T T T"
K 0.000 0.000 0.000
Sb 2.959 2.959 2.959
Te 0.000 0.000 2.959
Te 0.000 2.959 0.000
Te 2.959 0.000 0.000
```

***

7.
A relaxed K8Sb2Te crystal, computed with PBE-GGA.

Values from the calculation:
Calculated density = 1.89 g/cm³
E_form (uncorrected) = -5.59 eV/f.u.
V = 600.6 Å³/f.u.

extended XYZ file:
```
11
Lattice="-4.208 4.208 8.478 4.208 -4.208 8.478 4.208 4.208 -8.478" Properties=species:S:1:pos:R:3 pbc="T T T"
K 2.295 2.266 -2.275
K 6.122 2.266 -2.275
K 2.266 2.295 2.275
K 1.942 -1.913 10.753
K -1.913 1.942 6.203
K 1.913 1.942 6.203
K 2.266 6.122 2.275
K 1.942 1.913 10.753
Sb 0.000 0.000 8.478
Sb 0.000 4.208 4.239
Te 4.208 0.000 4.239
```

***

8.
A relaxed KSbTe3 crystal, computed with PBE-GGA.

Values from the calculation:
Calculated density = 4.48 g/cm³
E_form (uncorrected) = -0.60 eV/f.u.
V = 201.5 Å³/f.u.

extended XYZ file:
```
5
Lattice="5.863 0.000 0.000 0.000 5.863 0.000 0.000 0.000 5.863" Properties=species:S:1:pos:R:3 pbc="T T T"
K 0.000 0.000 0.000
Sb 2.932 2.932 2.932
Te 0.000 2.932 2.932
Te 2.932 0.000 2.932
Te 2.932 2.932 0.000
```

***

9.
A relaxed K2Sb2Te crystal, computed with PBE-GGA.

Values from the calculation:
Calculated density = 3.48 g/cm³
E_form (uncorrected) = -1.14 eV/f.u.
V = 214.2 Å³/f.u.

extended XYZ file:
```
10
Lattice="7.027 0.000 0.000 0.000 7.027 0.000 0.000 0.000 8.673" Properties=species:S:1:pos:R:3 pbc="T T T"
K 0.000 3.514 2.168
K 0.000 3.514 6.505
K 3.514 0.000 2.168
K 3.514 0.000 6.505
Sb 0.000 0.000 1.376
Sb 0.000 0.000 7.297
Sb 3.514 3.514 2.960
Sb 3.514 3.514 5.713
Te 0.000 0.000 4.337
Te 3.514 3.514 0.000
```

***

10.
A relaxed K5Sb2Te6 crystal, computed with PBE-GGA.

Values from the calculation:
Calculated density = 3.58 g/cm³
E_form (uncorrected) = -8.94 eV/f.u.
V = 559.2 Å³/f.u.

extended XYZ file:
```
26
Lattice="13.618 0.000 0.000 0.000 15.626 0.000 0.000 0.000 5.256" Properties=species:S:1:pos:R:3 pbc="T T T"
K 0.000 0.000 0.000
K 0.795 4.151 0.000
K 2.562 8.190 0.000
K 4.247 0.377 0.000
K 6.014 11.964 0.000
K 6.809 7.813 0.000
K 7.604 3.662 0.000
K 9.371 15.249 0.000
K 11.056 7.436 0.000
K 12.823 11.475 0.000
Sb 2.545 11.357 2.628
Sb 4.264 3.544 2.628
Sb 9.354 12.082 2.628
Sb 11.073 4.269 2.628
Te 0.479 9.334 2.628
Te 1.959 1.893 2.628
Te 2.579 12.818 0.000
Te 4.230 5.005 0.000
Te 4.850 9.705 2.628
Te 6.330 1.521 2.628
Te 7.288 14.105 2.628
Te 8.768 5.920 2.628
Te 9.388 10.621 0.000
Te 11.039 2.808 0.000
Te 11.659 13.733 2.628
Te 13.139 6.292 2.628
```

***

11.
A relaxed KSb2Te2 crystal, computed with PBE-GGA.

Values from the calculation:
Calculated density = 4.38 g/cm³
E_form (uncorrected) = 0.24 eV/f.u.
V = 204.0 Å³/f.u.

extended XYZ file:
```
5
Lattice="5.972 0.000 0.000 0.000 5.972 0.000 0.000 0.000 5.720" Properties=species:S:1:pos:R:3 pbc="T T T"
K 0.000 0.000 0.000
Sb 2.986 2.986 0.000
Sb 2.986 2.986 2.860
Te 0.000 2.986 2.860
Te 2.986 0.000 2.860
```

***

12.
A relaxed K4SbTe crystal, computed with PBE-GGA.

Values from the calculation:
Calculated density = 2.95 g/cm³
E_form (uncorrected) = -0.18 eV/f.u.
V = 228.3 Å³/f.u.

extended XYZ file:
```
6
Lattice="0.000 4.851 4.851 4.851 0.000 4.851 4.851 4.851 0.000" Properties=species:S:1:pos:R:3 pbc="T T T"
K 3.644 3.644 3.644
K 6.059 6.059 3.644
K 6.059 3.644 6.059
K 3.644 6.059 6.059
Sb 0.000 0.000 0.000
Te 7.277 7.277 7.277
```